Entry 1:
Density functional theory data (PBE-GGA) for a relaxed structure of ScOs2Cl.

Output
E_form (uncorrected) in eV/atom: -0.090
DFT total energy in eV per cell: -31.00
ΔE to the lowest computed polymorph in meV per atom: 24
Space group: Pm, No. 6

```
ScOs2Cl
1.0
2.933 0.000 0.000
0.000 3.681 0.000
-1.443 0.000 7.282
Sc Os Cl
1 2 1
direct
0.000 0.000 0.000
0.376 0.500 0.749
0.814 0.000 0.623
0.601 0.500 0.205
```



Entry 2:
Density functional theory data (PBE-GGA) for a relaxed structure of Mg2FeHg.

Output
DFT total energy in eV per cell: -11.25
Space group: P4mm, No. 99
Energy relative to the elements in meV per atom: 176.5

```
Mg2FeHg
1.0
3.157 0.000 0.000
0.000 3.157 0.000
0.000 0.000 7.570
Mg Fe Hg
2 1 1
direct
0.000 0.000 0.000
0.500 0.500 0.298
0.000 0.000 0.514
0.500 0.500 0.741
```



Entry 3:
Density functional theory data (PBE-GGA) for a relaxed structure of CeDy2Lu.

Output
DFT total energy in eV per cell: -19.41
ΔE to the lowest computed polymorph in meV per atom: 0
Space group: P4/mmm, No. 123
Energy relative to the elements in meV per atom: 62.6

```
CeDy2Lu
1.0
3.498 0.000 0.000
0.000 3.498 0.000
0.000 0.000 9.960
Ce Dy Lu
1 2 1
direct
0.000 0.000 0.000
0.500 0.500 0.248
0.500 0.500 0.752
0.000 0.000 0.500
```



Entry 4:
Density functional theory data (PBE-GGA) for a relaxed structure of Ho3MgB.

Output
DFT total energy in eV per cell: -22.10
Space group: Pm-3m, No. 221
Energy relative to the elements in meV per atom: -18.8

```
Ho3MgB
1.0
5.076 0.000 0.000
0.000 5.076 0.000
0.000 0.000 5.076
Ho Mg B
3 1 1
direct
0.000 0.000 0.500
0.000 0.500 0.000
0.500 0.000 0.000
0.500 0.500 0.500
0.000 0.000 0.000
```



Entry 5:
Density functional theory data (PBE-GGA) for a relaxed structure of NaSn4SbSe8.

Output
E_form (uncorrected) in eV/atom: -0.405
DFT total energy in eV per cell: -55.00
Space group: R3m, No. 160

```
NaSn4SbSe8
1.0
4.257 2.458 6.855
-4.257 2.458 6.855
0.000 -4.916 6.855
Na Sn Sb Se
1 4 1 8
direct
0.000 0.000 0.000
0.106 0.631 0.631
0.249 0.249 0.249
0.631 0.106 0.631
0.631 0.631 0.106
0.629 0.629 0.629
0.365 0.365 0.871
0.365 0.871 0.365
0.376 0.376 0.376
0.409 0.857 0.857
0.857 0.409 0.857
0.857 0.857 0.409
0.863 0.863 0.863
0.871 0.365 0.365
```



Entry 6:
Density functional theory data (PBE-GGA) for a relaxed structure of Ce4BCl5.

Output
E_form (uncorrected) in eV/atom: -1.539
DFT total energy in eV per cell: -55.04
Space group: C2/m, No. 12

```
Ce4BCl5
1.0
8.714 -1.956 0.000
8.714 1.956 0.000
-1.811 0.000 7.944
Ce B Cl
4 1 5
direct
0.000 0.000 0.220
0.000 0.000 0.780
0.344 0.344 0.923
0.656 0.656 0.077
0.500 0.500 0.000
0.166 0.166 0.334
0.169 0.169 0.822
0.500 0.500 0.500
0.831 0.831 0.178
0.834 0.834 0.666
```



Entry 7:
Density functional theory data (PBE-GGA) for a relaxed structure of Ba2P.

Output
DFT total energy in eV per cell: -34.02
Space group: P-62m, No. 189
Energy relative to the elements in meV per atom: -695.3

```
Ba2P
1.0
8.682 0.000 0.000
-4.341 7.519 0.000
0.000 0.000 4.857
Ba P
6 3
direct
0.000 0.269 0.000
0.000 0.591 0.500
0.269 0.000 0.000
0.409 0.409 0.500
0.591 0.000 0.500
0.731 0.731 0.000
0.000 0.000 0.500
0.333 0.667 0.000
0.667 0.333 0.000
```



Entry 8:
Density functional theory data (PBE-GGA) for a relaxed structure of Rb2FeAuBr6.

Output
E_form (uncorrected) in eV/atom: -0.856
DFT total energy in eV per cell: -32.27
Space group: I4/mmm, No. 139

```
Rb2FeAuBr6
1.0
-3.773 3.773 5.632
3.773 -3.773 5.632
3.773 3.773 -5.632
Rb Fe Au Br
2 1 1 6
direct
0.250 0.750 0.500
0.750 0.250 0.500
0.000 0.000 0.000
0.500 0.500 0.000
0.218 0.218 0.000
0.251 0.251 0.501
0.251 0.749 0.000
0.749 0.251 0.000
0.749 0.749 0.499
0.782 0.782 0.000
```



Entry 9:
Density functional theory data (PBE-GGA) for a relaxed structure of Ca2ErPaO6.

Output
E_form (uncorrected) in eV/atom: -3.410
DFT total energy in eV per cell: -81.91
Space group: R3, No. 146

```
Ca2ErPaO6
1.0
2.933 1.693 5.041
-2.933 1.693 5.041
0.000 -3.387 5.041
Ca Er Pa O
2 1 1 6
direct
0.000 0.000 0.000
0.497 0.497 0.497
0.218 0.218 0.218
0.715 0.715 0.715
0.079 0.432 0.842
0.350 0.924 0.589
0.432 0.842 0.079
0.589 0.350 0.924
0.842 0.079 0.432
0.924 0.589 0.350
```



Entry 10:
Density functional theory data (PBE-GGA) for a relaxed structure of HfCu4Pd.

Output
DFT total energy in eV per cell: -33.36
Space group: F-43m, No. 216
Energy relative to the elements in meV per atom: -304.5

```
HfCu4Pd
1.0
0.000 3.451 3.451
3.451 0.000 3.451
3.451 3.451 0.000
Hf Cu Pd
1 4 1
direct
0.000 0.000 0.000
0.375 0.375 0.375
0.375 0.375 0.874
0.375 0.874 0.375
0.874 0.375 0.375
0.750 0.750 0.750
```



Entry 11:
Density functional theory data (PBE-GGA) for a relaxed structure of NpMnNbTc.

Output
DFT total energy in eV per cell: -167.95
Space group: F-43m, No. 216
Energy relative to the elements in meV per atom: 139.5

```
NpMnNbTc
1.0
6.444 0.000 0.000
0.000 6.444 0.000
0.000 0.000 6.444
Np Mn Nb Tc
4 4 4 4
direct
0.000 0.000 0.000
0.000 0.500 0.500
0.500 0.000 0.500
0.500 0.500 0.000
0.250 0.250 0.250
0.250 0.750 0.750
0.750 0.250 0.750
0.750 0.750 0.250
0.000 0.000 0.500
0.000 0.500 0.000
0.500 0.000 0.000
0.500 0.500 0.500
0.250 0.250 0.750
0.250 0.750 0.250
0.750 0.250 0.250
0.750 0.750 0.750
```



Entry 12:
Density functional theory data (PBE-GGA) for a relaxed structure of NdZnCu3.

Output
DFT total energy in eV per cell: -35.41
ΔE to the lowest computed polymorph in meV per atom: 245
Space group: Cmmm, No. 65
Energy relative to the elements in meV per atom: 125.3

```
NdZnCu3
1.0
5.979 0.000 0.000
0.000 6.960 0.000
0.000 0.000 4.580
Nd Zn Cu
2 2 6
direct
0.000 0.000 0.000
0.500 0.500 0.000
0.000 0.500 0.500
0.500 0.000 0.500
0.000 0.500 0.000
0.250 0.250 0.500
0.250 0.750 0.500
0.500 0.000 0.000
0.750 0.250 0.500
0.750 0.750 0.500
```